(1)
A plane-wave DFT calculation with PBE with a Hubbard U was carried out for a relaxed PrV2BiO8 crystal.

Cell lengths 5.8810, 5.8810, 6.9132 Å; angles 90.00, 90.00, 120.00 degrees
With the nearest neighbours (Å) after each atom.
Sites, in units of the cell vectors:
Pr (0.0000, 0.0000, 0.0000)  6 O 2.40
V (0.3333, 0.6667, 0.3236)  4 O 1.64-1.79
V (0.6667, 0.3333, 0.6764)  4 O 1.64-1.79
Bi (0.0000, 0.0000, 0.5000)  6 O 2.43
O (0.1657, 0.3314, 0.2466)  1 V 1.79
O (0.1657, 0.8343, 0.2466)  1 V 1.79
O (0.3314, 0.1657, 0.7534)  1 V 1.79
O (0.3333, 0.6667, 0.5614)  1 V 1.64
O (0.6667, 0.3333, 0.4386)  1 V 1.64
O (0.6686, 0.8343, 0.2466)  1 V 1.79
O (0.8343, 0.1657, 0.7534)  1 V 1.79
O (0.8343, 0.6686, 0.7534)  1 V 1.79

Density of states at the Fermi level (states/eV/cell): 0.00
Final energy (eV/atom): -7.324
SG: P-3m1

---

(2)
A plane-wave DFT calculation with PBE with a Hubbard U was carried out for a relaxed PrBi2WO8 crystal.

Cell lengths 5.1907, 6.9741, 5.1968 Å; angles 90.00, 90.75, 90.00 degrees
With the nearest neighbours (Å) after each atom.
Sites, in units of the cell vectors:
Pr (0.0000, 0.0000, 0.0000)  6 O 2.36-2.42
Bi (0.5000, 0.2565, 0.5000)  6 O 2.23-2.43
Bi (0.5000, 0.7435, 0.5000)  6 O 2.23-2.43
W (0.0000, 0.5000, 0.0000)  6 O 1.96
O (0.1821, 0.2915, 0.1802)  1 W 1.96
O (0.1821, 0.7085, 0.1802)  1 W 1.96
O (0.2646, 0.5000, 0.7335)  1 W 1.96
O (0.3181, 0.0000, 0.6806)  2 Bi 2.23, 1 Pr 2.36
O (0.6819, 0.0000, 0.3194)  2 Bi 2.23, 1 Pr 2.36
O (0.7354, 0.5000, 0.2665)  1 W 1.96
O (0.8179, 0.2915, 0.8198)  1 W 1.96
O (0.8179, 0.7085, 0.8198)  1 W 1.96

Density of states at the Fermi level (states/eV/cell): 3.75
Final energy (eV/atom): -6.808
SG: P2/m